[1]
Density functional theory data (PBE-GGA) for a relaxed NpAlAu3 crystal.

Cell: 6.997 6.997 5.231 Å, 90.00 90.00 128.16°
Atoms (fractional coordinates):
Np1 0.073 0.927 0.750
Np2 0.927 0.073 0.250
Al1 0.322 0.678 0.250
Al2 0.678 0.322 0.750
Au1 0.081 0.414 0.750
Au2 0.414 0.081 0.250
Au3 0.500 0.500 0.000
Au4 0.500 0.500 0.500
Au5 0.586 0.919 0.750
Au6 0.919 0.586 0.250

* space-group type: Cmcm, No. 63
* N(E_F): 7.79 states/eV/f.u.
* ΔE to the lowest computed polymorph: 48 meV per atom
* crystal system: orthorhombic

[2]
Density functional theory data (PBE-GGA) for a relaxed NpAl3Au3 crystal.

Cell: 6.940 6.940 6.940 Å, 90.00 90.00 90.00°
Atoms (fractional coordinates):
Np1 0.000 0.000 0.000
Np2 0.500 0.500 0.500
Al1 0.000 0.250 0.500
Al2 0.000 0.750 0.500
Al3 0.250 0.500 0.000
Al4 0.500 0.000 0.250
Al5 0.500 0.000 0.750
Al6 0.750 0.500 0.000
Au1 0.000 0.500 0.250
Au2 0.000 0.500 0.750
Au3 0.250 0.000 0.500
Au4 0.500 0.250 0.000
Au5 0.500 0.750 0.000
Au6 0.750 0.000 0.500

* space-group type: Pm-3n, No. 223
* N(E_F): 14.20 states/eV/f.u.
* crystal system: cubic

[3]
Density functional theory data (PBE-GGA) for a relaxed NpAlAu4 crystal.

Cell: 7.431 7.431 6.409 Å, 107.92 107.92 46.84°
Atoms (fractional coordinates):
Np1 0.192 0.192 0.333
Np2 0.808 0.808 0.667
Al1 0.439 0.439 0.650
Al2 0.561 0.561 0.350
Au1 0.129 0.648 0.303
Au2 0.236 0.764 0.000
Au3 0.302 0.302 0.859
Au4 0.352 0.871 0.697
Au5 0.648 0.129 0.303
Au6 0.698 0.698 0.141
Au7 0.764 0.236 0.000
Au8 0.871 0.352 0.697

* space-group type: C2/m, No. 12
* N(E_F): 10.79 states/eV/f.u.
* crystal system: monoclinic

[4]
Density functional theory data (PBE-GGA) for a relaxed NpAlAu6 crystal.

Cell: 8.468 4.836 8.499 Å, 90.00 116.90 90.00°
Atoms (fractional coordinates):
Np1 0.000 0.000 0.000
Np2 0.500 0.500 0.000
Al1 0.000 0.500 0.500
Al2 0.500 0.000 0.500
Au1 0.091 0.500 0.830
Au2 0.147 0.000 0.413
Au3 0.240 0.000 0.785
Au4 0.260 0.500 0.215
Au5 0.353 0.500 0.587
Au6 0.409 0.000 0.170
Au7 0.591 0.000 0.830
Au8 0.647 0.500 0.413
Au9 0.740 0.500 0.785
Au10 0.760 0.000 0.215
Au11 0.853 0.000 0.587
Au12 0.909 0.500 0.170

* space-group type: C2/m, No. 12
* N(E_F): 11.27 states/eV/f.u.
* crystal system: monoclinic

[5]
Density functional theory data (PBE-GGA) for a relaxed NpAl4PdAu2 crystal.

Cell: 9.196 9.196 9.196 Å, 27.38 27.38 27.38°
Atoms (fractional coordinates):
Np1 0.000 0.000 0.000
Al1 0.131 0.131 0.131
Al2 0.401 0.401 0.401
Al3 0.599 0.599 0.599
Al4 0.869 0.869 0.869
Pd1 0.500 0.500 0.500
Au1 0.245 0.245 0.245
Au2 0.755 0.755 0.755

* space-group type: R-3m, No. 166
* N(E_F): 8.86 states/eV/f.u.
* crystal system: trigonal

[6]
Density functional theory data (PBE-GGA) for a relaxed NpAl4Pt2Au crystal.

Cell: 9.422 9.422 9.422 Å, 26.24 26.24 26.24°
Atoms (fractional coordinates):
Np1 0.000 0.000 0.000
Al1 0.124 0.124 0.124
Al2 0.401 0.401 0.401
Al3 0.599 0.599 0.599
Al4 0.876 0.876 0.876
Pt1 0.250 0.250 0.250
Pt2 0.750 0.750 0.750
Au1 0.500 0.500 0.500

* space-group type: R-3m, No. 166
* N(E_F): 10.83 states/eV/f.u.
* crystal system: trigonal

Calculated formation energy list, top to bottom, in meV per atom: -186, 45, -229, -175, -366, -532